{"formula": "Pm8CdSn2", "functional": "PBE-GGA", "state": "optimized geometry", "formation_enthalpy_0k_ev_per_atom": -0.306, "dos_ef_per_ev_cell": 12.5, "m_tot_mub_per_cell": 0.0, "final_energy_ev_per_cell": -50.291, "lattice_angstrom": [[-1.1121, 5.0752, -0.8111], [-5.6441, -1.8214, -3.6579], [-2.5812, -1.7379, 9.7107]], "species": ["Pm", "Pm", "Pm", "Pm", "Pm", "Pm", "Pm", "Cd", "Pm", "Sn", "Sn"], "frac_coords": [[0.6580, 0.9950, 0.3160], [0.4067, 0.5183, 0.8134], [0.9838, 0.2312, 0.9676], [0.7878, 0.6815, 0.5757], [0.3420, 0.0050, 0.6840], [0.0162, 0.7688, 0.0324], [0.5933, 0.4817, 0.1866], [0.5000, 0.0000, 0.0000], [0.2122, 0.3185, 0.4243], [0.8205, 0.2485, 0.6411], [0.1795, 0.7515, 0.3589]]}